Here is ErPaMnC3 after structural relaxation from Alexandria via LeMat-Bulk. Energies are from PBE.

Magnetization (μB/f.u.): 0.000
ΔE_f (meV/atom): -172.4

Cell and atoms, written as extended XYZ:
```
12
Lattice="7.220 0.000 0.000 0.000 3.497 0.000 -0.330 0.000 7.215" Properties=species:S:1:pos:R:3 pbc="T T T"
Er 1.012 0.874 1.254
Er 5.878 2.623 5.962
Pa 2.427 2.623 5.877
Pa 4.463 0.874 1.339
Mn 0.461 0.874 4.226
Mn 6.429 2.623 2.989
C 0.629 0.874 6.048
C 0.960 2.623 3.683
C 2.851 2.623 0.981
C 4.039 0.874 6.235
C 5.930 0.874 3.533
C 6.260 2.623 1.167
```